No. 1
{"formula": "CaSb2As", "functional": "GGA-PBE", "state": "optimized geometry", "volume_a3_per_atom": 27.03, "raw_formation_energy_mev_per_atom": -407.2, "energy_ev_per_cell": -16.5, "magmom_total_mub_per_cell": 0.00, "lattice_angstrom": [[-1.7179, 1.3975, 5.9848], [4.3420, -4.4847, -1.3254], [3.5799, 0.6169, 2.4712]], "species": ["Sb", "Sb", "Ca", "As"], "fractional_positions": [[0.0000, 0.0000, 0.0000], [0.5000, 0.5000, 0.0000], [0.0000, 0.5000, 0.5000], [0.5000, 0.0000, 0.5000]]}

---

No. 2
{"formula": "CaSb2As", "functional": "GGA-PBE", "state": "optimized geometry", "volume_a3_per_atom": 27.67, "raw_formation_energy_mev_per_atom": -366.8, "energy_ev_per_cell": -16.4, "magmom_total_mub_per_cell": 0.00, "lattice_angstrom": [[6.1063, -0.0288, -0.0432], [4.8444, 3.7175, -0.0432], [2.1718, 0.7315, 4.8288]], "species": ["Sb", "Sb", "Ca", "As"], "fractional_positions": [[0.0380, 0.0380, 0.9847], [0.7677, 0.7677, 0.7866], [0.2208, 0.2208, 0.3297], [0.4735, 0.4735, 0.3990]]}

---

No. 3
{"formula": "CaSb2As", "functional": "GGA-PBE", "state": "optimized geometry", "volume_a3_per_atom": 28.34, "raw_formation_energy_mev_per_atom": -372.7, "energy_ev_per_cell": -16.4, "magmom_total_mub_per_cell": 0.00, "lattice_angstrom": [[4.1849, 0.0000, 0.0000], [0.0000, 4.6506, 0.0037], [0.0000, 2.1532, 5.8257]], "species": ["Ca", "As", "Sb", "Sb"], "fractional_positions": [[0.5000, 0.7510, 0.7165], [0.0000, 0.3986, 0.5480], [0.5000, 0.2996, 0.2401], [0.0000, 0.0508, 0.9954]]}

---

No. 4
{"formula": "CaSb2As", "functional": "GGA-PBE", "state": "optimized geometry", "volume_a3_per_atom": 25.59, "raw_formation_energy_mev_per_atom": -351.2, "energy_ev_per_cell": -16.3, "magmom_total_mub_per_cell": 0.00, "lattice_angstrom": [[4.5358, 0.0000, 0.0000], [0.0000, 4.5178, -0.0008], [0.0000, 4.4946, 4.9946]], "species": ["Sb", "Sb", "Ca", "As"], "fractional_positions": [[0.0000, 0.0000, 0.0000], [0.5000, 0.5000, 0.0000], [0.0000, 0.0000, 0.5000], [0.5000, 0.5000, 0.5000]]}

---

No. 5
{"formula": "CaSbAs", "functional": "GGA-PBE", "state": "optimized geometry", "volume_a3_per_atom": 30.06, "polymorph_energy_ev_per_atom": 0.168, "raw_formation_energy_mev_per_atom": -501.3, "energy_ev_per_cell": -12.3, "magmom_total_mub_per_cell": 0.00, "lattice_angstrom": [[6.1424, 0.0110, 0.0081], [3.4265, 5.0979, -0.0081], [-4.7856, -2.5523, 2.8833]], "species": ["Sb", "As", "Ca"], "fractional_positions": [[0.6960, 0.6960, 0.0000], [0.9335, 0.9335, 0.0000], [0.3705, 0.3705, 0.0000]]}

---

No. 6
{"formula": "CaSb2As", "functional": "GGA-PBE", "state": "optimized geometry", "volume_a3_per_atom": 27.30, "raw_formation_energy_mev_per_atom": -251.4, "energy_ev_per_cell": -15.9, "magmom_total_mub_per_cell": 0.00, "lattice_angstrom": [[-1.6679, 3.0712, 0.8222], [-1.0139, -1.3938, 3.1495], [7.1114, 2.9050, 3.5750]], "species": ["Sb", "Sb", "Ca", "As"], "fractional_positions": [[0.0000, 0.0000, 0.9798], [0.5000, 0.5000, 0.3194], [0.5000, 0.5000, 0.7220], [0.0000, 0.0000, 0.4788]]}

---

No. 7
{"formula": "Ca4SbAs", "functional": "GGA-PBE", "state": "optimized geometry", "volume_a3_per_atom": 31.28, "polymorph_energy_ev_per_atom": 0.000, "raw_formation_energy_mev_per_atom": -848.5, "energy_ev_per_cell": -43.7, "magmom_total_mub_per_cell": 0.00, "lattice_angstrom": [[-5.3711, 1.6826, -4.4794], [4.0162, -2.0762, -5.5950], [-1.9454, -6.5388, 5.6528]], "species": ["Ca", "Ca", "Ca", "Ca", "Ca", "Ca", "Ca", "Ca", "As", "As", "Sb", "Sb"], "fractional_positions": [[0.6320, 0.1320, 0.2641], [0.1321, 0.6322, 0.2641], [0.3680, 0.8680, 0.7359], [0.1317, 0.1320, 0.2639], [0.8679, 0.3678, 0.7359], [0.3681, 0.3681, 0.7361], [0.6319, 0.6319, 0.2639], [0.8683, 0.8680, 0.7361], [0.0000, 0.5000, 0.5000], [0.5000, 0.0000, 0.5000], [0.2500, 0.2500, 0.0000], [0.7500, 0.7500, 0.0000]]}

---

No. 8
{"formula": "CaSb2As2", "functional": "GGA-PBE", "state": "optimized geometry", "volume_a3_per_atom": 26.56, "polymorph_energy_ev_per_atom": 0.221, "raw_formation_energy_mev_per_atom": -44.2, "energy_ev_per_cell": -19.8, "magmom_total_mub_per_cell": 0.00, "lattice_angstrom": [[4.1434, 0.0000, 0.0000], [0.0000, 4.1434, 0.0000], [2.0717, 2.0717, 7.7355]], "species": ["As", "As", "Sb", "Sb", "Ca"], "fractional_positions": [[0.2500, 0.7500, 0.5000], [0.7500, 0.2500, 0.5000], [0.4035, 0.4035, 0.1929], [0.5965, 0.5965, 0.8071], [0.0000, 0.0000, 0.0000]]}

---

No. 9
{"formula": "CaSb2As4", "functional": "GGA-PBE", "state": "optimized geometry", "volume_a3_per_atom": 30.87, "raw_formation_energy_mev_per_atom": 381.0, "energy_ev_per_cell": -26.2, "magmom_total_mub_per_cell": 0.00, "lattice_angstrom": [[-3.3985, 0.9119, 4.1310], [-4.1829, 0.0679, -3.4561], [-4.6461, -6.7440, 1.2305]], "species": ["Ca", "Sb", "Sb", "As", "As", "As", "As"], "fractional_positions": [[0.0000, 0.0000, 0.0000], [0.6046, 0.6046, 0.7909], [0.3954, 0.3954, 0.2091], [0.0000, 0.5000, 0.0000], [0.5000, 0.0000, 0.0000], [0.2233, 0.2233, 0.5533], [0.7767, 0.7767, 0.4467]]}

---

No. 10
{"formula": "CaSiSb2As", "functional": "GGA-PBE", "state": "optimized geometry", "volume_a3_per_atom": 33.87, "raw_formation_energy_mev_per_atom": 1034.1, "energy_ev_per_cell": -15.1, "magmom_total_mub_per_cell": 0.00, "lattice_angstrom": [[5.6694, 0.0000, 0.0000], [0.0000, 5.2688, 0.0000], [0.0000, 0.0000, 5.6694]], "species": ["Sb", "Sb", "Si", "Ca", "As"], "fractional_positions": [[0.0000, 0.0000, 0.5000], [0.5000, 0.0000, 0.0000], [0.5000, 0.5000, 0.5000], [0.0000, 0.0000, 0.0000], [0.0000, 0.5000, 0.0000]]}

---

No. 11
{"formula": "Sr2CaSbAs", "functional": "GGA-PBE", "state": "optimized geometry", "volume_a3_per_atom": 37.83, "raw_formation_energy_mev_per_atom": -893.9, "energy_ev_per_cell": -18.6, "magmom_total_mub_per_cell": 0.00, "lattice_angstrom": [[-4.6377, -0.0572, -3.5605], [-3.4759, -1.1976, 4.5467], [-0.7323, 5.4151, 0.8668]], "species": ["Sr", "Sr", "Sb", "As", "Ca"], "fractional_positions": [[0.5000, 0.0000, 0.9775], [0.0000, 0.5000, 0.9774], [0.5000, 0.5000, 0.5393], [0.0000, 0.0000, 0.0050], [0.0000, 0.0000, 0.5008]]}

---

No. 12
{"formula": "SrCa2SbAs", "functional": "GGA-PBE", "state": "optimized geometry", "volume_a3_per_atom": 37.64, "raw_formation_energy_mev_per_atom": -976.7, "energy_ev_per_cell": -19.3, "magmom_total_mub_per_cell": 0.00, "lattice_angstrom": [[5.3618, 0.0000, 0.0000], [0.0000, 5.3618, 0.0000], [0.0000, 0.0002, 6.5463]], "species": ["Sr", "As", "Sb", "Ca", "Ca"], "fractional_positions": [[0.0000, 0.0000, 0.4964], [0.0000, 0.0000, 0.0407], [0.5000, 0.5000, 0.6265], [0.0000, 0.5000, 0.9182], [0.5000, 0.0000, 0.9182]]}

---

No. 13
{"formula": "CaSbTe2As", "functional": "GGA-PBE", "state": "optimized geometry", "volume_a3_per_atom": 32.99, "polymorph_energy_ev_per_atom": 0.000, "raw_formation_energy_mev_per_atom": -83.6, "energy_ev_per_cell": -17.5, "magmom_total_mub_per_cell": 0.00, "lattice_angstrom": [[5.6273, 0.0000, 0.0000], [0.0000, 5.6273, 0.0000], [0.0000, 0.0000, 5.2097]], "species": ["Ca", "Te", "Te", "Sb", "As"], "fractional_positions": [[0.5000, 0.5000, 0.5000], [0.0000, 0.5000, 0.0000], [0.5000, 0.0000, 0.0000], [0.0000, 0.0000, 0.5000], [0.0000, 0.0000, 0.0000]]}

---

No. 14
{"formula": "CaSb2TeAs", "functional": "GGA-PBE", "state": "optimized geometry", "volume_a3_per_atom": 37.45, "polymorph_energy_ev_per_atom": 0.751, "raw_formation_energy_mev_per_atom": 790.4, "energy_ev_per_cell": -14.1, "magmom_total_mub_per_cell": 1.02, "lattice_angstrom": [[-5.2132, 0.8486, -2.3366], [-2.4783, -1.3505, 5.0390], [0.1885, 5.3950, 1.5386]], "species": ["As", "Te", "Ca", "Sb", "Sb"], "fractional_positions": [[0.5000, 0.5000, 0.5000], [0.0000, 0.0000, 0.5000], [0.0000, 0.0000, 0.0000], [0.0000, 0.5000, 0.0000], [0.5000, 0.0000, 0.0000]]}